[1]
Pu2PaN after structural relaxation. Source: Alexandria, functional PBE.

The final energy comes out at -0.84987 Ry/atom. Its energy above the lowest structure with this stoichiometry is 501 meV/atom. The value obtained for the formation energy without anion corrections is 0.058 eV/atom.

It has space group P4/mmm (No. 123), with a = 3.374 Å, b = 3.374 Å, c = 6.524 Å, α = 90.00°, β = 90.00° and γ = 90.00°. The asymmetric unit holds Pu at (0.000, 0.500, 0.000), Pa at (0.000, 0.000, 0.500) and N at (0.500, 0.500, 0.500).

---

[2]
PuPa2N after structural relaxation. Source: Alexandria, functional PBE.

The final energy comes out at -0.79367 Ry/atom. The value obtained for the formation energy without anion corrections is -0.386 eV/atom.

It has space group R-3m (No. 166, hexagonal axes), with a = 3.5253 Å, b = 3.5253 Å, c = 18.8164 Å, α = 90.00°, β = 90.00° and γ = 120.00°. The asymmetric unit holds Pu at (0.0000, 0.0000, 0.0000), Pa at (0.0000, 0.0000, 0.2451) and N at (0.0000, 0.0000, 0.5000).

---

[3]
Pu2PaN6 after structural relaxation. Source: Alexandria, functional PBE.

The final energy comes out at -0.76702 Ry/atom. The value obtained for the formation energy without anion corrections is -0.646 eV/atom.

It has space group P-31m (No. 162), with a = 5.7410 Å, b = 5.7410 Å, c = 4.5091 Å, α = 90.00°, β = 90.00° and γ = 120.00°. The asymmetric unit holds Pu at (0.3333, 0.6667, 0.0000), Pa at (0.0000, 0.0000, 0.5000) and N at (0.0000, 0.3473, 0.7725).

---

[4]
PuPa2N3 after structural relaxation. Source: Alexandria, functional PBE.

The final energy comes out at -0.82570 Ry/atom. The value obtained for the formation energy without anion corrections is -1.518 eV/atom.

It has space group I4/mmm (No. 139), with a = 3.498 Å, b = 3.498 Å, c = 14.805 Å, α = 90.00°, β = 90.00° and γ = 90.00°. The asymmetric unit holds Pu at (0.000, 0.000, 0.000), Pa at (0.000, 0.000, 0.335), N at (0.000, 0.000, 0.168) and N at (0.000, 0.000, 0.500).

---

The lowest formation energy without anion corrections belongs to which entry?
PuPa2N3